Record 1
# GGA-PBEsol Mn2Ag, relaxed
data_Mn2Ag
_chemical_formula_sum 'Mn2 Ag1'
_cell_length_a 2.5916
_cell_length_b 2.5916
_cell_length_c 6.4637
_cell_angle_alpha 90.00
_cell_angle_beta 90.00
_cell_angle_gamma 120.00
_space_group_name_H-M_alt 'P -3 m 1'
_space_group_IT_number 164
_space_group_name_Hall '-P 3 2"'
loop_
_atom_site_label
_atom_site_fract_x
_atom_site_fract_y
_atom_site_fract_z
Mn1 0.3333 0.6667 0.1346
Ag1 0.0000 0.0000 0.5000
# Final energy ... -21.60 eV/cell
# Magnetization ... 0.0 μB per cell
# Fermi-level density of states ... 3.1 states/eV per cell
# Calculated density ... 9.62 Mg/m³
# Crystal system ... trigonal
# Energy of formation from the pure elements ... 0.411 eV/atom



Record 2
# GGA-PBEsol MnAgMo2, relaxed
data_MnAgMo2
_chemical_formula_sum 'Mn1 Ag1 Mo2'
_cell_length_a 4.788
_cell_length_b 2.685
_cell_length_c 4.908
_cell_angle_alpha 90.00
_cell_angle_beta 109.84
_cell_angle_gamma 90.00
_space_group_name_H-M_alt 'P 1 2/m 1'
_space_group_IT_number 10
_space_group_name_Hall '-P 2y'
loop_
_atom_site_label
_atom_site_fract_x
_atom_site_fract_y
_atom_site_fract_z
Mn1 0.000 0.000 0.000
Ag1 0.500 0.500 0.000
Mo1 0.000 0.500 0.500
Mo2 0.500 0.000 0.500
# Final energy ... -34.57 eV/cell
# Magnetization ... 2.4 μB per cell
# Fermi-level density of states ... 4.4 states/eV per cell
# Calculated density ... 9.92 Mg/m³
# Crystal system ... monoclinic
# E above lowest polymorph ... 4.70 kcal/mol of atoms
# Energy of formation from the pure elements ... 0.509 eV/atom



Record 3
# GGA-PBEsol MnAgMo2, relaxed
data_MnAgMo2
_chemical_formula_sum 'Mn1 Ag1 Mo2'
_cell_length_a 2.678
_cell_length_b 2.678
_cell_length_c 7.972
_cell_angle_alpha 90.00
_cell_angle_beta 90.00
_cell_angle_gamma 90.00
_space_group_name_H-M_alt 'P 4/m m m'
_space_group_IT_number 123
_space_group_name_Hall '-P 4 2'
loop_
_atom_site_label
_atom_site_fract_x
_atom_site_fract_y
_atom_site_fract_z
Mn1 0.000 0.000 0.000
Ag1 0.000 0.000 0.500
Mo1 0.500 0.500 0.215
# Final energy ... -35.39 eV/cell
# Magnetization ... 0.0 μB per cell
# Fermi-level density of states ... 3.0 states/eV per cell
# Calculated density ... 10.30 Mg/m³
# Crystal system ... tetragonal
# E above lowest polymorph ... 0.00 kcal/mol of atoms
# Energy of formation from the pure elements ... 0.305 eV/atom



Record 4
# GGA-PBEsol MnAgMo2, relaxed
data_MnAgMo2
_chemical_formula_sum 'Mn1 Ag1 Mo2'
_cell_length_a 3.752
_cell_length_b 3.752
_cell_length_c 4.147
_cell_angle_alpha 90.00
_cell_angle_beta 90.00
_cell_angle_gamma 90.00
_space_group_name_H-M_alt 'P 4/m m m'
_space_group_IT_number 123
_space_group_name_Hall '-P 4 2'
loop_
_atom_site_label
_atom_site_fract_x
_atom_site_fract_y
_atom_site_fract_z
Mn1 0.000 0.000 0.000
Ag1 0.500 0.500 0.000
Mo1 0.000 0.500 0.500
# Final energy ... -34.88 eV/cell
# Magnetization ... 2.1 μB per cell
# Fermi-level density of states ... 4.0 states/eV per cell
# Calculated density ... 10.09 Mg/m³
# Crystal system ... tetragonal
# E above lowest polymorph ... 2.91 kcal/mol of atoms
# Energy of formation from the pure elements ... 0.431 eV/atom



Record 5
# GGA-PBEsol MnAgMo2, relaxed
data_MnAgMo2
_chemical_formula_sum 'Mn1 Ag1 Mo2'
_cell_length_a 2.622
_cell_length_b 4.391
_cell_length_c 5.144
_cell_angle_alpha 90.00
_cell_angle_beta 96.75
_cell_angle_gamma 90.00
_space_group_name_H-M_alt 'P 1 m 1'
_space_group_IT_number 6
_space_group_name_Hall 'P -2y'
loop_
_atom_site_label
_atom_site_fract_x
_atom_site_fract_y
_atom_site_fract_z
Mn1 0.000 0.000 0.000
Ag1 0.073 0.500 0.724
Mo1 0.461 0.000 0.471
Mo2 0.670 0.500 0.209
# Final energy ... -34.98 eV/cell
# Magnetization ... 2.4 μB per cell
# Fermi-level density of states ... 3.2 states/eV per cell
# Calculated density ... 10.01 Mg/m³
# Crystal system ... monoclinic
# E above lowest polymorph ... 2.33 kcal/mol of atoms
# Energy of formation from the pure elements ... 0.406 eV/atom



Record 6
# GGA-PBEsol MnAgN3, relaxed
data_MnAgN3
_chemical_formula_sum 'Mn1 Ag1 N3'
_cell_length_a 3.687
_cell_length_b 3.687
_cell_length_c 3.687
_cell_angle_alpha 90.00
_cell_angle_beta 90.00
_cell_angle_gamma 90.00
_space_group_name_H-M_alt 'P m -3 m'
_space_group_IT_number 221
_space_group_name_Hall '-P 4 2 3'
loop_
_atom_site_label
_atom_site_fract_x
_atom_site_fract_y
_atom_site_fract_z
Mn1 0.000 0.000 0.000
Ag1 0.500 0.500 0.500
N1 0.000 0.000 0.500
# Final energy ... -33.50 eV/cell
# Magnetization ... 1.0 μB per cell
# Fermi-level density of states ... 3.5 states/eV per cell
# Calculated density ... 6.79 Mg/m³
# Formation energy (no corrections) ... 1.030 eV/atom
# Crystal system ... cubic



> Among the records above, which one has the lowest Fermi-level density of states?

number 3



> Which value of magnetization does entry 4 give?

2.1 μB per cell